# PmHf2Pt9

A relaxed PmHf2Pt9 crystal (PBE, Alexandria via LeMat-Bulk).

```
PmHf2Pt9
1.0
4.083 0.000 0.000
0.000 4.083 0.000
0.000 0.000 12.242
Pt Hf Pm
9 2 1
Direct
0.500 0.000 0.179
0.500 0.500 0.661
0.500 0.000 0.500
0.500 0.500 0.000
0.000 0.500 0.500
0.000 0.500 0.179
0.000 0.500 0.821
0.500 0.500 0.339
0.500 0.000 0.821
0.000 0.000 0.665
0.000 0.000 0.335
0.000 0.000 0.000
```

Output
DFT formation energy (meV/atom): -1055
Space group: P4/mmm, No. 123
Density (g cm⁻³): 18.4
D(E_F) (states/eV per atom): 0.21
Total magnetic moment (μB per formula unit): 0.0
DFT total energy (eV per atom): -7.64